Record 1
Density functional theory data (PBE) for LiSi2Ru after structural relaxation.

Summary:
As for the space-group type: No. 225. Its excess energy over the best structure of this formula in the dataset is 0.000 eV/atom. The calculation puts the energy relative to the elements, uncorrected at -0.348 eV per atom.

```
data_LiSi2Ru
_chemical_formula_sum 'Li1 Si2 Ru1'
_cell_length_a 4.151
_cell_length_b 4.151
_cell_length_c 4.151
_cell_angle_alpha 60.00
_cell_angle_beta 60.00
_cell_angle_gamma 60.00
_space_group_name_H-M_alt 'P 1'
_space_group_IT_number 1
_space_group_name_Hall 'P 1'
loop_
_atom_site_label
_atom_site_fract_x
_atom_site_fract_y
_atom_site_fract_z
Ru1 0.500 0.500 0.500
Si1 0.250 0.250 0.250
Si2 0.750 0.750 0.750
Li1 0.000 0.000 0.000
```


Record 2
Density functional theory data (PBE) for PAu2Br after structural relaxation.

Summary:
As for the space-group type: No. 12. Its excess energy over the best structure of this formula in the dataset is 0.053 eV/atom. The calculation puts the energy relative to the elements, uncorrected at 0.138 eV per atom.

```
data_PAu2Br
_chemical_formula_sum 'P1 Au2 Br1'
_cell_length_a 3.677
_cell_length_b 3.677
_cell_length_c 7.360
_cell_angle_alpha 75.73
_cell_angle_beta 75.73
_cell_angle_gamma 60.05
_space_group_name_H-M_alt 'P 1'
_space_group_IT_number 1
_space_group_name_Hall 'P 1'
loop_
_atom_site_label
_atom_site_fract_x
_atom_site_fract_y
_atom_site_fract_z
Au1 0.015 0.015 0.956
Au2 0.485 0.485 0.544
Br1 0.250 0.250 0.250
P1 0.750 0.750 0.750
```


Record 3
Density functional theory data (PBE) for Zn2InMo after structural relaxation.

Summary:
As for the space-group type: No. 122. The value obtained for the formation energy is 510.0 meV/atom.

```
data_Zn2InMo
_chemical_formula_sum 'Zn4 In2 Mo2'
_cell_length_a 7.254
_cell_length_b 7.254
_cell_length_c 5.833
_cell_angle_alpha 51.56
_cell_angle_beta 51.56
_cell_angle_gamma 90.00
_space_group_name_H-M_alt 'P 1'
_space_group_IT_number 1
_space_group_name_Hall 'P 1'
loop_
_atom_site_label
_atom_site_fract_x
_atom_site_fract_y
_atom_site_fract_z
Mo1 0.500 0.500 0.000
Mo2 0.250 0.750 0.500
Zn1 0.616 0.125 0.250
Zn2 0.134 0.625 0.250
Zn3 0.375 0.384 0.750
Zn4 0.875 0.866 0.750
In1 0.000 0.000 0.000
In2 0.750 0.250 0.500
```


Record 4
Density functional theory data (PBE) for Al2FeMo after structural relaxation.

Summary:
As for the space-group type: No. 216. The value obtained for the formation energy is -65.3 meV/atom. Its excess energy over the best structure of this formula in the dataset is 0.161 eV/atom.

```
data_Al2FeMo
_chemical_formula_sum 'Al2 Fe1 Mo1'
_cell_length_a 4.284
_cell_length_b 4.284
_cell_length_c 4.284
_cell_angle_alpha 60.00
_cell_angle_beta 60.00
_cell_angle_gamma 60.00
_space_group_name_H-M_alt 'P 1'
_space_group_IT_number 1
_space_group_name_Hall 'P 1'
loop_
_atom_site_label
_atom_site_fract_x
_atom_site_fract_y
_atom_site_fract_z
Mo1 0.750 0.750 0.750
Fe1 0.500 0.500 0.500
Al1 0.000 0.000 0.000
Al2 0.250 0.250 0.250
```